No. 1
A plane-wave DFT calculation with PBE-GGA was carried out for a geometry-optimized ErAlNi structure.

## Properties
Total DFT energy (no corrections): -5.296 eV per atom
Symmetry: Pmma

a b c (Å): 3.863 6.968 12.067
angles (deg): 90.00 90.00 90.00
Element x y z (fractional)
Er  0.000  0.128  0.250
Er  0.000  0.246  0.959
Er  0.000  0.754  0.459
Er  0.000  0.872  0.750
Er  0.000  0.754  0.041
Er  0.000  0.246  0.541
Al  0.500  0.577  0.633
Al  0.500  0.222  0.750
Al  0.500  0.778  0.250
Al  0.500  0.423  0.367
Al  0.500  0.577  0.867
Al  0.500  0.423  0.133
Ni  0.000  0.543  0.250
Ni  0.500  0.048  0.403
Ni  0.500  0.048  0.097
Ni  0.500  0.952  0.597
Ni  0.000  0.457  0.750
Ni  0.500  0.952  0.903

---

No. 2
A plane-wave DFT calculation with PBE-GGA was carried out for a geometry-optimized KTc2Hg structure.

## Properties
Total DFT energy (no corrections): -4.432 eV per atom
Symmetry: Cmmm

a b c (Å): 2.760 2.760 10.649
angles (deg): 90.00 90.00 106.89
Element x y z (fractional)
K  0.500  0.500  0.750
Hg  0.500  0.500  0.250
Tc  0.000  0.000  0.027
Tc  0.000  0.000  0.473

---

No. 3
A plane-wave DFT calculation with PBE-GGA was carried out for a geometry-optimized LiTaAs structure.

## Properties
Offset from the most stable computed form: 0.00 kJ per mole of atoms
Total DFT energy (no corrections): -6.640 eV per atom
Symmetry: P4/nmm

a b c (Å): 3.948 3.948 6.947
angles (deg): 90.00 90.00 90.00
Element x y z (fractional)
Ta  0.000  0.000  0.500
Ta  0.500  0.500  0.500
Li  0.500  0.000  0.153
Li  0.000  0.500  0.847
As  0.000  0.500  0.233
As  0.500  0.000  0.767

---

No. 4
A plane-wave DFT calculation with PBE-GGA was carried out for a geometry-optimized TaAlGeP2 structure.

## Properties
Offset from the most stable computed form: 15.47 kJ per mole of atoms
Total DFT energy (no corrections): -4.965 eV per atom
Symmetry: P4/mmm

a b c (Å): 4.702 4.521 4.702
angles (deg): 90.00 90.00 90.00
Last column: magnetic moment on the atom in μB.
Element x y z (fractional)
Ge  0.000  0.000  0.000  0.02
P  0.500  0.000  0.000  -0.04
P  0.000  0.000  0.500  -0.03
Ta  0.500  0.500  0.500  0.98
Al  0.000  0.500  0.000  0.00

---

Number 1: M_tot 0.000 μB per formula unit, energy of formation from the pure elements -600 meV/atom. Number 2: M_tot 0.000 μB per formula unit, energy of formation from the pure elements 1101 meV/atom. Number 3: M_tot 0.000 μB per formula unit, energy of formation from the pure elements -501 meV/atom. Number 4: M_tot 1.351 μB per formula unit, energy of formation from the pure elements 1241 meV/atom.